Entry 1:
PmTm2Ga3 | PBE | optimized geometry

Results
Crystal system ... monoclinic
E_form ... -0.4067 eV/atom
Total DFT energy (no corrections) ... -4.2024 eV/atom

The structure in CIF format:
```
data_PmTm2Ga3
_space_group_name_H-M_alt 'C 1 2/m 1'
_space_group_IT_number 12
_space_group_name_Hall '-C 2y'
_cell_length_a 6.279
_cell_length_b 10.943
_cell_length_c 8.993
_cell_angle_alpha 90.00
_cell_angle_beta 103.75
_cell_angle_gamma 90.00
loop_
_atom_site_label
_atom_site_fract_x
_atom_site_fract_y
_atom_site_fract_z
_atom_site_occupancy
Pm1 0.000 0.166 0.000 1
Tm1 0.000 0.000 0.500 1
Tm2 0.000 0.328 0.500 1
Tm3 0.000 0.500 0.000 1
Ga1 0.234 0.500 0.743 1
Ga2 0.244 0.340 0.254 1
```


Entry 2:
Pm2Tm3Ga2 | PBE | optimized geometry

Results
Crystal system ... monoclinic
E_form ... -0.3142 eV/atom
Total DFT energy (no corrections) ... -4.4527 eV/atom

The structure in CIF format:
```
data_Pm2Tm3Ga2
_space_group_name_H-M_alt 'C 1 2/m 1'
_space_group_IT_number 12
_space_group_name_Hall '-C 2y'
_cell_length_a 12.058
_cell_length_b 4.180
_cell_length_c 8.470
_cell_angle_alpha 90.00
_cell_angle_beta 113.39
_cell_angle_gamma 90.00
loop_
_atom_site_label
_atom_site_fract_x
_atom_site_fract_y
_atom_site_fract_z
_atom_site_occupancy
Pm1 0.148 0.000 0.306 1
Tm1 0.000 0.500 0.500 1
Tm2 0.123 0.500 0.940 1
Ga1 0.169 0.000 0.714 1
```


Entry 3:
Pm2TmGa | PBE | optimized geometry

Results
Crystal system ... trigonal
E_form ... -0.1515 eV/atom
Distance to the lowest polymorph of the same formula ... 111.0 meV per atom
Total DFT energy (no corrections) ... -4.4014 eV/atom

The structure in CIF format:
```
data_Pm2TmGa
_space_group_name_H-M_alt 'R 3 m'
_space_group_IT_number 160
_space_group_name_Hall 'R 3 -2"'
_cell_length_a 3.6758
_cell_length_b 3.6758
_cell_length_c 31.0124
_cell_angle_alpha 90.00
_cell_angle_beta 90.00
_cell_angle_gamma 120.00
loop_
_atom_site_label
_atom_site_fract_x
_atom_site_fract_y
_atom_site_fract_z
_atom_site_occupancy
Pm1 0.0000 0.0000 0.0000 1
Pm2 0.0000 0.0000 0.1889 1
Tm1 0.0000 0.0000 0.7610 1
Ga1 0.0000 0.0000 0.5948 1
```


Entry 4:
PmTmGa3 | PBE | optimized geometry

Results
Crystal system ... orthorhombic
E_form ... -0.6578 eV/atom
Total DFT energy (no corrections) ... -4.3183 eV/atom

The structure in CIF format:
```
data_PmTmGa3
_space_group_name_H-M_alt 'C m c m'
_space_group_IT_number 63
_space_group_name_Hall '-C 2c 2'
_cell_length_a 4.238
_cell_length_b 25.541
_cell_length_c 4.186
_cell_angle_alpha 90.00
_cell_angle_beta 90.00
_cell_angle_gamma 90.00
loop_
_atom_site_label
_atom_site_fract_x
_atom_site_fract_y
_atom_site_fract_z
_atom_site_occupancy
Pm1 0.000 0.074 0.250 1
Tm1 0.000 0.204 0.750 1
Ga1 0.000 0.322 0.750 1
Ga2 0.000 0.379 0.250 1
Ga3 0.000 0.476 0.250 1
```


Entry 5:
PmTm4Ga4 | PBE | optimized geometry

Results
Crystal system ... tetragonal
E_form ... -0.3440 eV/atom
Total DFT energy (no corrections) ... -4.2044 eV/atom

The structure in CIF format:
```
data_PmTm4Ga4
_space_group_name_H-M_alt 'P 42/n'
_space_group_IT_number 86
_cell_length_a 9.131
_cell_length_b 9.131
_cell_length_c 5.822
_cell_angle_alpha 90.00
_cell_angle_beta 90.00
_cell_angle_gamma 90.00
loop_
_space_group_symop_operation_xyz
'x,y,z'
'-x,-y,-z'
'-y,x+1/2,z+1/2'
'y,-x+1/2,-z+1/2'
'-x+1/2,-y+1/2,z'
'x+1/2,y+1/2,-z'
'y+1/2,-x,z+1/2'
'-y+1/2,x,-z+1/2'
loop_
_atom_site_label
_atom_site_fract_x
_atom_site_fract_y
_atom_site_fract_z
_atom_site_occupancy
Pm1 0.250 0.250 0.250 1
Tm1 0.079 0.654 0.131 1
Ga1 0.030 0.612 0.626 1
```


Entry 6:
Pm5TmGa3 | PBE | optimized geometry

Results
Crystal system ... hexagonal
E_form ... -0.3733 eV/atom
Total DFT energy (no corrections) ... -4.5183 eV/atom

The structure in CIF format:
```
data_Pm5TmGa3
_space_group_name_H-M_alt 'P 63/m c m'
_space_group_IT_number 193
_space_group_name_Hall '-P 6c 2'
_cell_length_a 9.1082
_cell_length_b 9.1082
_cell_length_c 6.7218
_cell_angle_alpha 90.00
_cell_angle_beta 90.00
_cell_angle_gamma 120.00
loop_
_atom_site_label
_atom_site_fract_x
_atom_site_fract_y
_atom_site_fract_z
_atom_site_occupancy
Pm1 0.0000 0.3368 0.2500 1
Pm2 0.3333 0.6667 0.0000 1
Tm1 0.0000 0.0000 0.0000 1
Ga1 0.0000 0.3245 0.7500 1
```


Let's list size of the total moment in order: 0.00; 0.05; 0.78; 0.00; 0.00; 0.00 μB/f.u..
Let's list DOS at the Fermi energy in order: 14.352; 18.164; 14.310; 12.350; 13.401; 19.672 states/eV/cell.